[1]
The following is a PBE calculation of a relaxed Cs2Ce2PbSe6 crystal, from Alexandria.

Summary:
* electronic total energy: -4.8735 eV per atom
* ΔE_f (raw): -1.402 eV per atom
* SG: C2/m

Unit cell a=7.530 b=7.530 c=8.798 alpha=97.54 beta=97.54 gamma=120.35
Element x y z (fractional)
Cs  0.840  0.160  0.000
Cs  0.160  0.840  0.000
Ce  0.334  0.666  0.500
Ce  0.666  0.334  0.500
Pb  0.000  0.000  0.500
Se  0.700  0.700  0.685
Se  0.055  0.413  0.683
Se  0.300  0.300  0.315
Se  0.413  0.055  0.683
Se  0.945  0.587  0.317
Se  0.587  0.945  0.317

[2]
The following is a PBE calculation of a relaxed Cs4Ce3PbSe8 crystal, from Alexandria.

Summary:
* electronic total energy: -4.7627 eV per atom
* ΔE_f (raw): -1.463 eV per atom
* SG: C2/m

Unit cell a=8.841 b=8.515 c=8.838 alpha=89.97 beta=120.01 gamma=90.00
Element x y z (fractional)
Cs  0.500  0.000  0.000
Cs  0.500  0.000  0.500
Cs  0.000  0.000  0.000
Cs  0.000  0.000  0.500
Ce  0.500  0.500  0.000
Ce  0.500  0.500  0.500
Ce  0.000  0.500  0.500
Pb  0.000  0.500  0.000
Se  0.174  0.688  0.826
Se  0.333  0.314  0.667
Se  0.174  0.688  0.349
Se  0.651  0.688  0.826
Se  0.349  0.312  0.174
Se  0.826  0.312  0.651
Se  0.667  0.686  0.333
Se  0.826  0.312  0.174

[3]
The following is a PBE calculation of a relaxed Cs4Ce3Te8Pb crystal, from Alexandria.

Summary:
* electronic total energy: -4.3313 eV per atom
* ΔE_f (raw): -1.203 eV per atom
* SG: R-3m

Unit cell a=9.465 b=10.404 c=9.466 alpha=117.08 beta=120.00 gamma=90.00
Element x y z (fractional)
Cs  0.500  0.000  0.000
Cs  0.500  0.000  0.500
Cs  0.000  0.000  0.000
Cs  0.000  0.000  0.500
Ce  0.500  0.500  0.000
Ce  0.500  0.500  0.500
Ce  0.000  0.500  0.500
Te  0.236  0.692  0.956
Te  0.236  0.692  0.473
Te  0.269  0.308  0.539
Te  0.719  0.692  0.956
Te  0.281  0.308  0.044
Te  0.731  0.692  0.461
Te  0.764  0.308  0.527
Te  0.764  0.308  0.044
Pb  0.000  0.500  0.000

[4]
The following is a PBE calculation of a relaxed Cs3Ce3Te8Pb crystal, from Alexandria.

Summary:
* electronic total energy: -4.4331 eV per atom
* ΔE_f (raw): -1.153 eV per atom
* SG: R-3m

Unit cell a=9.274 b=9.274 c=10.423 alpha=116.43 beta=90.00 gamma=120.00
Element x y z (fractional)
Cs  0.000  0.000  0.000
Cs  0.000  0.500  0.000
Cs  0.500  0.500  0.000
Ce  0.500  0.000  0.500
Ce  0.500  0.500  0.500
Ce  0.000  0.500  0.500
Te  0.269  0.539  0.309
Te  0.731  0.461  0.691
Te  0.761  0.522  0.309
Te  0.239  0.478  0.691
Te  0.761  0.048  0.309
Te  0.239  0.952  0.691
Te  0.287  0.048  0.309
Te  0.713  0.952  0.691
Pb  0.000  0.000  0.500

[5]
The following is a PBE calculation of a relaxed Cs3Ce2Te6Pb crystal, from Alexandria.

Summary:
* electronic total energy: -4.2353 eV per atom
* ΔE_f (raw): -1.153 eV per atom
* SG: C2/m

Unit cell a=8.189 b=8.189 c=9.255 alpha=98.47 beta=98.47 gamma=119.96
Element x y z (fractional)
Cs  0.161  0.839  0.500
Cs  0.839  0.161  0.500
Cs  0.500  0.500  0.500
Ce  0.333  0.667  0.000
Ce  0.667  0.333  0.000
Te  0.935  0.588  0.807
Te  0.716  0.716  0.191
Te  0.065  0.412  0.193
Te  0.588  0.935  0.807
Te  0.284  0.284  0.809
Te  0.412  0.065  0.193
Pb  0.000  0.000  0.000

[6]
The following is a PBE calculation of a relaxed CsCe2Pd2S6 crystal, from Alexandria.

Summary:
* electronic total energy: -5.4633 eV per atom
* ΔE_f (raw): -1.111 eV per atom
* SG: P-1

Unit cell a=8.117 b=7.855 c=7.094 alpha=119.93 beta=103.34 gamma=49.55
Element x y z (fractional)
Cs  0.500  0.000  0.500
Ce  0.868  0.326  0.808
Ce  0.132  0.674  0.192
Pd  0.112  0.748  0.761
Pd  0.888  0.252  0.239
S  0.393  0.672  0.988
S  0.055  0.388  0.187
S  0.239  0.847  0.601
S  0.945  0.612  0.813
S  0.761  0.153  0.399
S  0.607  0.328  0.012